Record 1
AlTl3Cd (PBE, optimized geometry); ρ = 6.97 g cm⁻³; formation enthalpy at 0 K = 53.0 kJ per mole of atoms; DFT total energy = -1.80 eV per atom; polymorph energy (0 for the lowest one) = 1.31 eV per formula unit
1.0
5.639 0.000 0.000
0.000 5.639 0.000
0.000 0.000 5.639
Al Tl Cd
1 3 1
Direct
0.000 0.000 0.000
0.000 0.500 0.500
0.500 0.000 0.500
0.500 0.500 0.000
0.500 0.500 0.500

=====

Record 2
Al2TlCd (PBE, optimized geometry); ρ = 6.72 g cm⁻³; formation enthalpy at 0 K = 16.0 kJ per mole of atoms; DFT total energy = -2.53 eV per atom
1.0
2.998 0.000 0.000
0.000 3.892 0.000
0.000 0.000 7.853
Al Tl Cd
2 1 1
Direct
0.000 0.000 0.000
0.500 0.500 0.168
0.500 0.500 0.715
0.000 0.000 0.401

=====

Record 3
AlTlCd2 (PBE, optimized geometry); ρ = 7.97 g cm⁻³; formation enthalpy at 0 K = 14.5 kJ per mole of atoms; DFT total energy = -1.83 eV per atom; polymorph energy (0 for the lowest one) = 0.15 eV per formula unit
1.0
11.093 0.000 0.000
0.000 3.048 0.000
-1.422 0.000 5.623
Al Tl Cd
2 2 4
Direct
0.000 0.000 0.000
0.500 0.500 0.000
0.000 0.500 0.500
0.500 0.000 0.500
0.232 0.500 0.232
0.268 0.000 0.768
0.732 0.000 0.232
0.768 0.500 0.768

=====

Record 4
AlTlCd2 (PBE, optimized geometry); ρ = 7.99 g cm⁻³; formation enthalpy at 0 K = 13.0 kJ per mole of atoms; DFT total energy = -1.85 eV per atom; polymorph energy (0 for the lowest one) = 0.09 eV per formula unit
1.0
5.446 0.000 0.000
0.000 3.298 0.000
-0.812 0.000 10.553
Al Tl Cd
2 2 4
Direct
0.000 0.000 0.000
0.500 0.500 0.000
0.499 0.500 0.500
0.999 0.000 0.500
0.142 0.500 0.777
0.360 0.000 0.223
0.642 0.000 0.777
0.860 0.500 0.223